Entry 1:
Below is a relaxed structure of Dy9Al5S21, with properties calculated at the PBE level.

**Electronic total energy**: -5.917 eV/atom

Cell lengths 16.7056, 16.7056, 18.3470 Å; angles 90.00, 90.00, 120.00 degrees
Space group R3 (No. 146, hexagonal axes)
Symmetry-distinct sites (fractional):
Dy: 0.0235 0.2003 0.0000 (multiplicity 9)
Dy: 0.0236 0.2039 0.3411 (multiplicity 9)
Dy: 0.0253 0.1977 0.6641 (multiplicity 9)
Dy: 0.1530 0.6906 0.5070 (multiplicity 9)
Dy: 0.1583 0.6861 0.8294 (multiplicity 9)
Dy: 0.1593 0.6957 0.1690 (multiplicity 9)
Al: 0.0000 0.0000 0.2696 (multiplicity 3)
Al: 0.0000 0.0000 0.4521 (multiplicity 3)
Al: 0.0000 0.0000 0.7687 (multiplicity 3)
Al: 0.0000 0.0000 0.9506 (multiplicity 3)
Al: 0.0013 0.6708 0.3093 (multiplicity 9)
Al: 0.0051 0.3351 0.8093 (multiplicity 9)
S: 0.9998 0.3343 0.2645 (multiplicity 9)
S: 0.0021 0.6674 0.0980 (multiplicity 9)
S: 0.0085 0.1240 0.2054 (multiplicity 9)
S: 0.0092 0.5501 0.5886 (multiplicity 9)
S: 0.0114 0.1195 0.8647 (multiplicity 9)
S: 0.0152 0.1303 0.5197 (multiplicity 9)
S: 0.0185 0.5515 0.9255 (multiplicity 9)
S: 0.0237 0.5604 0.2578 (multiplicity 9)
S: 0.1195 0.1084 0.3661 (multiplicity 9)
S: 0.1252 0.1144 0.7050 (multiplicity 9)
S: 0.1272 0.3433 0.0921 (multiplicity 9)
S: 0.1292 0.1161 0.0183 (multiplicity 9)
S: 0.1296 0.3573 0.4246 (multiplicity 9)
S: 0.1332 0.3519 0.7553 (multiplicity 9)

Entry 2:
Below is a relaxed structure of Sr2LiCaF, with properties calculated at the PBE level.

**Electronic total energy**: -2.844 eV/atom

Cell lengths 6.157, 6.157, 4.515 Å; angles 90.00, 90.00, 90.00 degrees
Space group P4/mmm (No. 123)
Symmetry-distinct sites (fractional):
Sr: 0.000 0.500 0.000 (multiplicity 2)
Li: 0.000 0.000 0.500 (multiplicity 1)
Ca: 0.500 0.500 0.500 (multiplicity 1)
F: 0.500 0.500 0.000 (multiplicity 1)

Entry 3:
Below is a relaxed structure of FeSnRu2C, with properties calculated at the PBE level.

**E above lowest polymorph**: 0.0 meV/atom
**E_form**: 0.07 eV per atom
**Electronic total energy**: -7.983 eV/atom

Cell lengths 4.097, 4.097, 3.870 Å; angles 90.00, 90.00, 90.00 degrees
Space group P4/mmm (No. 123)
Symmetry-distinct sites (fractional):
Fe: 0.000 0.000 0.000 (multiplicity 1)
Sn: 0.500 0.500 0.000 (multiplicity 1)
Ru: 0.000 0.500 0.500 (multiplicity 2)
C: 0.000 0.000 0.500 (multiplicity 1)

Entry 4:
Below is a relaxed structure of Os2Br, with properties calculated at the PBE level.

**E above lowest polymorph**: 941.1 meV/atom
**Electronic total energy**: -6.562 eV/atom

Cell lengths 4.3049, 4.3049, 2.9420 Å; angles 90.00, 90.00, 120.00 degrees
Space group P-3m1 (No. 164)
Symmetry-distinct sites (fractional):
Os: 0.3333 0.6667 0.2364 (multiplicity 2)
Br: 0.0000 0.0000 0.5000 (multiplicity 1)

How do the records compare in theoretical density? In the order shown, they have 5.102 2.340 9.935 16.190 g/cm³.